A geometry-optimized Pu5ThRu6 structure, computed with PBE.

The structure in CIF format:
```
data_Pu5ThRu6
_symmetry_space_group_name_H-M 'C m m m'
_symmetry_Int_Tables_number 65
_symmetry_space_group_name_Hall '-C 2 2'
_cell_length_a 4.6543
_cell_length_b 14.4358
_cell_length_c 7.0692
_cell_angle_alpha 90.00
_cell_angle_beta 90.00
_cell_angle_gamma 90.00
loop_
_atom_site_label
_atom_site_type_symbol
_atom_site_fract_x
_atom_site_fract_y
_atom_site_fract_z
_atom_site_occupancy
Pu1 Pu 0.0000 0.0000 0.0000 1
Pu2 Pu 0.0000 0.3313 0.0000 1
Pu3 Pu 0.0000 0.3308 0.5000 1
Th1 Th 0.0000 0.0000 0.5000 1
Ru1 Ru 0.0000 0.1688 0.2402 1
Ru2 Ru 0.0000 0.5000 0.2276 1
```

Summary:
Energy of formation: -16 kJ/mol of atoms
Calculated volume: 474.97 Å³ per cell



A geometry-optimized MgCd4Br structure, computed with PBE.

The structure in CIF format:
```
data_MgCd4Br
_symmetry_space_group_name_H-M 'F -4 3 m'
_symmetry_Int_Tables_number 216
_symmetry_space_group_name_Hall 'F -4 2 3'
_cell_length_a 8.5077
_cell_length_b 8.5077
_cell_length_c 8.5077
_cell_angle_alpha 90.00
_cell_angle_beta 90.00
_cell_angle_gamma 90.00
loop_
_atom_site_label
_atom_site_type_symbol
_atom_site_fract_x
_atom_site_fract_y
_atom_site_fract_z
_atom_site_occupancy
Mg1 Mg 0.0000 0.0000 0.0000 1
Cd1 Cd 0.1259 0.1259 0.3741 1
Br1 Br 0.2500 0.2500 0.7500 1
```

Summary:
Calculated volume: 615.80 Å³ per cell
Total DFT energy (no corrections): -27.87 eV for the cell shown



Among the records above, which one has the highest calculated volume?
MgCd4Br



calculated volume of number 2 (MgCd4Br)?
615.80 Å³ per cell